--- i ---
The following is a DFT calculation (PBE) of crystalline Hf2SbBr at its relaxed geometry.

Calculated values
calculated density	8.74	Mg/m³
V	26.5	A^3/atom

abc: 9.559 9.559 9.559
angles: 150.42 150.42 42.32
Element x y z (fractional)
1 Hf 0.108 0.625 0.983
2 Hf 0.375 0.358 0.483
3 Hf 0.642 0.125 0.017
4 Hf 0.875 0.892 0.517
5 Sb 0.250 0.750 0.500
6 Sb 0.500 0.500 0.000
7 Br 0.000 0.000 0.000
8 Br 0.750 0.250 0.500

--- ii ---
The following is a DFT calculation (PBE) of crystalline Hf2SbBr at its relaxed geometry.

Calculated values
calculated density	10.98	Mg/m³
V	21.1	A^3/atom

abc: 4.926 4.926 4.926
angles: 60.00 60.00 60.00
Element x y z (fractional)
1 Hf 0.250 0.250 0.250
2 Hf 0.750 0.750 0.750
3 Sb 0.000 0.000 0.000
4 Br 0.500 0.500 0.500

Quick one: most stable of them? ii

--- i ---
The following is a DFT calculation (PBE) of crystalline HfSbBr3 at its relaxed geometry.

Calculated values
calculated density	5.83	Mg/m³
V	30.7	A^3/atom

abc: 5.357 5.357 5.357
angles: 90.00 90.00 90.00
Element x y z (fractional)
1 Hf 0.000 0.000 0.000
2 Sb 0.500 0.500 0.500
3 Br 0.000 0.000 0.500
4 Br 0.000 0.500 0.000
5 Br 0.500 0.000 0.000

--- ii ---
The following is a DFT calculation (PBE) of crystalline HfSbBr3 at its relaxed geometry.

Calculated values
calculated density	4.86	Mg/m³
V	36.9	A^3/atom

abc: 5.692 5.692 5.692
angles: 90.00 90.00 90.00
Element x y z (fractional)
1 Hf 0.000 0.000 0.000
2 Sb 0.500 0.500 0.500
3 Br 0.000 0.500 0.500
4 Br 0.500 0.000 0.500
5 Br 0.500 0.500 0.000

Quick one: most stable of them? i

--- i ---
The following is a DFT calculation (PBE) of crystalline HfSbSe2Br at its relaxed geometry.

Calculated values
calculated density	5.86	Mg/m³
V	30.5	A^3/atom

abc: 5.364 5.364 5.301
angles: 90.00 90.00 90.00
Element x y z (fractional)
1 Hf 0.000 0.000 0.000
2 Sb 0.500 0.500 0.500
3 Se 0.000 0.500 0.500
4 Se 0.500 0.000 0.500
5 Br 0.500 0.500 0.000

--- ii ---
The following is a DFT calculation (PBE) of crystalline HfSbSe2Br at its relaxed geometry.

Calculated values
calculated density	6.38	Mg/m³
V	28.0	A^3/atom

abc: 5.212 5.212 5.151
angles: 90.00 90.00 90.00
Element x y z (fractional)
1 Hf 0.000 0.000 0.000
2 Sb 0.500 0.500 0.500
3 Se 0.000 0.500 0.000
4 Se 0.500 0.000 0.000
5 Br 0.000 0.000 0.500

Quick one: most stable of them? ii

--- i ---
The following is a DFT calculation (PBE) of crystalline HfScBr3 at its relaxed geometry.

Calculated values
calculated density	5.37	Mg/m³
V	28.7	A^3/atom

abc: 5.232 5.232 5.232
angles: 90.00 90.00 90.00
Element x y z (fractional)
1 Hf 0.000 0.000 0.000
2 Sc 0.500 0.500 0.500
3 Br 0.000 0.000 0.500
4 Br 0.000 0.500 0.000
5 Br 0.500 0.000 0.000

--- ii ---
The following is a DFT calculation (PBE) of crystalline HfScBr3 at its relaxed geometry.

Calculated values
calculated density	5.12	Mg/m³
V	30.0	A^3/atom

abc: 5.315 5.315 5.315
angles: 90.00 90.00 90.00
Element x y z (fractional)
1 Hf 0.000 0.000 0.000
2 Sc 0.500 0.500 0.500
3 Br 0.000 0.500 0.500
4 Br 0.500 0.000 0.500
5 Br 0.500 0.500 0.000

Quick one: most stable of them? i

--- i ---
The following is a DFT calculation (PBE) of crystalline HfScBr2 at its relaxed geometry.

Calculated values
calculated density	7.95	Mg/m³
V	20.0	A^3/atom

abc: 4.838 4.838 4.838
angles: 60.00 60.00 60.00
Element x y z (fractional)
1 Hf 0.000 0.000 0.000
2 Sc 0.500 0.500 0.500
3 Br 0.250 0.250 0.250
4 Br 0.750 0.750 0.750

--- ii ---
The following is a DFT calculation (PBE) of crystalline HfScBr2 at its relaxed geometry.

Calculated values
calculated density	6.85	Mg/m³
V	23.2	A^3/atom

abc: 9.568 9.568 9.568
angles: 20.38 20.38 20.38
Element x y z (fractional)
1 Hf 0.000 0.000 0.000
2 Sc 0.500 0.500 0.500
3 Br 0.098 0.098 0.098
4 Br 0.902 0.902 0.902

--- iii ---
The following is a DFT calculation (PBE) of crystalline HfScBr2 at its relaxed geometry.

Calculated values
calculated density	5.74	Mg/m³
V	27.7	A^3/atom

abc: 6.989 6.989 6.989
angles: 124.71 124.71 82.01
Element x y z (fractional)
1 Hf 0.000 0.000 0.000
2 Hf 0.750 0.250 0.500
3 Sc 0.250 0.750 0.500
4 Sc 0.500 0.500 0.000
5 Br 0.130 0.625 0.005
6 Br 0.375 0.380 0.505
7 Br 0.620 0.125 0.995
8 Br 0.875 0.870 0.495

Quick one: most stable of them? ii

--- i ---
The following is a DFT calculation (PBE) of crystalline SrHfSc2Br at its relaxed geometry.

Calculated values
calculated density	5.18	Mg/m³
V	27.9	A^3/atom

abc: 5.186 5.186 5.192
angles: 90.00 90.00 90.00
Element x y z (fractional)
1 Sr 0.000 0.000 0.000
2 Hf 0.500 0.500 0.000
3 Sc 0.000 0.500 0.500
4 Sc 0.500 0.000 0.500
5 Br 0.500 0.500 0.500

--- ii ---
The following is a DFT calculation (PBE) of crystalline SrHfSc2Br at its relaxed geometry.

Calculated values
calculated density	4.43	Mg/m³
V	32.7	A^3/atom

abc: 5.496 5.496 5.408
angles: 90.00 90.00 90.00
Element x y z (fractional)
1 Sr 0.000 0.000 0.000
2 Hf 0.500 0.500 0.500
3 Sc 0.000 0.500 0.500
4 Sc 0.500 0.000 0.500
5 Br 0.500 0.500 0.000

Quick one: most stable of them? i

--- i ---
The following is a DFT calculation (PBE) of crystalline HfSiSeBr2 at its relaxed geometry.

Calculated values
calculated density	5.84	Mg/m³
V	25.3	A^3/atom

abc: 4.964 4.964 5.140
angles: 90.00 90.00 90.00
Element x y z (fractional)
1 Hf 0.000 0.000 0.000
2 Si 0.500 0.500 0.500
3 Se 0.500 0.500 0.000
4 Br 0.000 0.500 0.500
5 Br 0.500 0.000 0.500

--- ii ---
The following is a DFT calculation (PBE) of crystalline HfSiSeBr2 at its relaxed geometry.

Calculated values
calculated density	5.14	Mg/m³
V	28.8	A^3/atom

abc: 5.259 5.259 5.206
angles: 90.00 90.00 90.00
Element x y z (fractional)
1 Hf 0.000 0.000 0.000
2 Si 0.500 0.500 0.500
3 Se 0.000 0.000 0.500
4 Br 0.000 0.500 0.000
5 Br 0.500 0.000 0.000

Quick one: most stable of them? ii

--- i ---
The following is a DFT calculation (PBE) of crystalline HfSiSe2Br at its relaxed geometry.

Calculated values
calculated density	6.44	Mg/m³
V	22.9	A^3/atom

abc: 4.889 4.889 4.798
angles: 90.00 90.00 90.00
Element x y z (fractional)
1 Hf 0.000 0.000 0.000
2 Si 0.500 0.500 0.500
3 Se 0.000 0.500 0.500
4 Se 0.500 0.000 0.500
5 Br 0.500 0.500 0.000

--- ii ---
The following is a DFT calculation (PBE) of crystalline HfSiSe2Br at its relaxed geometry.

Calculated values
calculated density	5.28	Mg/m³
V	28.0	A^3/atom

abc: 5.195 5.195 5.183
angles: 90.00 90.00 90.00
Element x y z (fractional)
1 Hf 0.000 0.000 0.000
2 Si 0.500 0.500 0.500
3 Se 0.000 0.500 0.000
4 Se 0.500 0.000 0.000
5 Br 0.000 0.000 0.500

Quick one: most stable of them? ii

--- i ---
The following is a DFT calculation (PBE) of crystalline HfSnSe2Br at its relaxed geometry.

Calculated values
calculated density	6.02	Mg/m³
V	29.5	A^3/atom

abc: 5.295 5.295 5.264
angles: 90.00 90.00 90.00
Element x y z (fractional)
1 Hf 0.000 0.000 0.000
2 Sn 0.500 0.500 0.500
3 Se 0.000 0.500 0.500
4 Se 0.500 0.000 0.500
5 Br 0.500 0.500 0.000

--- ii ---
The following is a DFT calculation (PBE) of crystalline HfSnSe2Br at its relaxed geometry.

Calculated values
calculated density	6.28	Mg/m³
V	28.3	A^3/atom

abc: 5.209 5.209 5.215
angles: 90.00 90.00 90.00
Element x y z (fractional)
1 Hf 0.000 0.000 0.000
2 Sn 0.500 0.500 0.500
3 Se 0.000 0.500 0.000
4 Se 0.500 0.000 0.000
5 Br 0.000 0.000 0.500

Quick one: most stable of them? ii

--- i ---
The following is a DFT calculation (PBE) of crystalline HfTcSe2Br at its relaxed geometry.

Calculated values
calculated density	6.13	Mg/m³
V	27.9	A^3/atom

abc: 5.179 5.179 5.192
angles: 90.00 90.00 90.00
Element x y z (fractional)
1 Hf 0.000 0.000 0.000
2 Tc 0.500 0.500 0.500
3 Se 0.000 0.500 0.000
4 Se 0.500 0.000 0.000
5 Br 0.000 0.000 0.500

--- ii ---
The following is a DFT calculation (PBE) of crystalline HfTcSe2Br at its relaxed geometry.

Calculated values
calculated density	7.29	Mg/m³
V	23.4	A^3/atom

abc: 4.872 4.872 4.939
angles: 90.00 90.00 90.00
Element x y z (fractional)
1 Hf 0.000 0.000 0.000
2 Tc 0.500 0.500 0.500
3 Se 0.000 0.500 0.500
4 Se 0.500 0.000 0.500
5 Br 0.500 0.500 0.000

Quick one: most stable of them? i

--- i ---
The following is a DFT calculation (PBE) of crystalline HfTcSeBr2 at its relaxed geometry.

Calculated values
calculated density	7.08	Mg/m³
V	24.2	A^3/atom

abc: 4.995 4.995 4.842
angles: 90.00 90.00 90.00
Element x y z (fractional)
1 Hf 0.000 0.000 0.000
2 Tc 0.500 0.500 0.500
3 Se 0.500 0.500 0.000
4 Br 0.000 0.500 0.500
5 Br 0.500 0.000 0.500

--- ii ---
The following is a DFT calculation (PBE) of crystalline HfTcSeBr2 at its relaxed geometry.

Calculated values
calculated density	5.92	Mg/m³
V	28.9	A^3/atom

abc: 5.290 5.290 5.165
angles: 90.00 90.00 90.00
Element x y z (fractional)
1 Hf 0.000 0.000 0.000
2 Tc 0.500 0.500 0.500
3 Se 0.000 0.000 0.500
4 Br 0.000 0.500 0.000
5 Br 0.500 0.000 0.000

Quick one: most stable of them? ii

--- i ---
The following is a DFT calculation (PBE) of crystalline HfTeSeBr2 at its relaxed geometry.

Calculated values
calculated density	5.33	Mg/m³
V	33.9	A^3/atom

abc: 5.557 5.557 5.496
angles: 90.00 90.00 90.00
Element x y z (fractional)
1 Hf 0.000 0.000 0.000
2 Te 0.500 0.500 0.500
3 Se 0.500 0.500 0.000
4 Br 0.000 0.500 0.500
5 Br 0.500 0.000 0.500

--- ii ---
The following is a DFT calculation (PBE) of crystalline HfTeSeBr2 at its relaxed geometry.

Calculated values
calculated density	6.08	Mg/m³
V	29.7	A^3/atom

abc: 5.358 5.358 5.179
angles: 90.00 90.00 90.00
Element x y z (fractional)
1 Hf 0.000 0.000 0.000
2 Te 0.500 0.500 0.500
3 Se 0.000 0.000 0.500
4 Br 0.000 0.500 0.000
5 Br 0.500 0.000 0.000

--- iii ---
The following is a DFT calculation (PBE) of crystalline HfTeSeBr2 at its relaxed geometry.

Calculated values
calculated density	6.16	Mg/m³
V	29.4	A^3/atom

abc: 5.282 5.282 5.266
angles: 90.00 90.00 90.00
Element x y z (fractional)
1 Hf 0.000 0.000 0.000
2 Te 0.500 0.500 0.000
3 Se 0.000 0.000 0.500
4 Br 0.000 0.500 0.500
5 Br 0.500 0.000 0.500

Quick one: most stable of them? ii

--- i ---
The following is a DFT calculation (PBE) of crystalline HfTlSe2Br at its relaxed geometry.

Calculated values
calculated density	7.02	Mg/m³
V	29.4	A^3/atom

abc: 5.219 5.219 5.394
angles: 90.00 90.00 90.00
Element x y z (fractional)
1 Hf 0.000 0.000 0.000
2 Tl 0.500 0.500 0.500
3 Se 0.000 0.500 0.000
4 Se 0.500 0.000 0.000
5 Br 0.000 0.000 0.500

--- ii ---
The following is a DFT calculation (PBE) of crystalline HfTlSe2Br at its relaxed geometry.

Calculated values
calculated density	6.78	Mg/m³
V	30.4	A^3/atom

abc: 5.343 5.343 5.325
angles: 90.00 90.00 90.00
Element x y z (fractional)
1 Hf 0.000 0.000 0.000
2 Tl 0.500 0.500 0.500
3 Se 0.000 0.500 0.500
4 Se 0.500 0.000 0.500
5 Br 0.500 0.500 0.000

Quick one: most stable of them? i